[1]
A relaxed Tb2NdDyY5 crystal. Source: Alexandria via LeMat-Bulk, functional GGA-PBE.

a b c (Å): 8.8906 8.8906 14.9898
angles (deg): 90.00 90.00 90.00
Space group I4/mcm (No. 140)
Symmetry-distinct sites (fractional):
Tb 0.1137 0.3863 0.0000 x8
Nd 0.0000 0.0000 0.2500 x4
Dy 0.0000 0.5000 0.2500 x4
Y 0.0000 0.0000 0.0000 x4
Y 0.2057 0.2943 0.3665 x16

Spin magnetization ... 0.0000 μB/atom
Formation energy from the elements ... 0.27 eV per atom

---

[2]
A relaxed Li2PrPt4 crystal. Source: Alexandria via LeMat-Bulk, functional GGA-PBE.

a b c (Å): 6.9575 6.9575 5.0871
angles (deg): 90.00 90.00 90.00
Space group I4/mmm (No. 139)
Symmetry-distinct sites (fractional):
Li 0.0000 0.5000 0.2500 x4
Pr 0.0000 0.0000 0.0000 x2
Pt 0.1988 0.1988 0.5000 x8

Spin magnetization ... 0.0000 μB/atom
Formation energy from the elements ... -0.63 eV per atom

---

[3]
A relaxed Sb2IBr2 crystal. Source: Alexandria via LeMat-Bulk, functional GGA-PBE.

a b c (Å): 5.1121 5.1121 12.7361
angles (deg): 90.00 90.00 90.00
Space group I4/mmm (No. 139)
Symmetry-distinct sites (fractional):
Sb 0.0000 0.0000 0.1125 x4
I 0.0000 0.0000 0.5000 x2
Br 0.0000 0.5000 0.2500 x4

Spin magnetization ... 0.0000 μB/atom

---

[4]
A relaxed Li2Sm2TmCd5 crystal. Source: Alexandria via LeMat-Bulk, functional GGA-PBE.

a b c (Å): 10.6017 10.6017 4.1253
angles (deg): 90.00 90.00 90.00
Space group P4/mbm (No. 127)
Symmetry-distinct sites (fractional):
Li 0.1150 0.3850 0.0000 x4
Sm 0.1803 0.6803 0.0000 x4
Tm 0.0000 0.0000 0.0000 x2
Cd 0.0000 0.5000 0.5000 x2
Cd 0.0597 0.2142 0.5000 x8

Spin magnetization ... 0.0000 μB/atom
Formation energy from the elements ... -0.28 eV per atom

---

[5]
A relaxed Mo3Pb crystal. Source: Alexandria via LeMat-Bulk, functional GGA-PBE.

a b c (Å): 6.0514 6.7757 3.4257
angles (deg): 90.00 90.00 90.00
Space group Cmmm (No. 65)
Symmetry-distinct sites (fractional):
Mo 0.0000 0.0000 0.0000 x2
Mo 0.2500 0.2500 0.5000 x4
Pb 0.0000 0.5000 0.0000 x2

Spin magnetization ... 0.0000 μB/atom
Formation energy from the elements ... 0.64 eV per atom

---

[6]
A relaxed Zr4Mn2Ge5 crystal. Source: Alexandria via LeMat-Bulk, functional GGA-PBE.

a b c (Å): 8.2787 17.2157 5.3563
angles (deg): 90.00 90.00 90.00
Space group Ibam (No. 72)
Symmetry-distinct sites (fractional):
Zr 0.1041 0.1447 0.0000 x8
Zr 0.2254 0.4402 0.0000 x8
Mn 0.0000 0.3014 0.2500 x8
Ge 0.0000 0.0000 0.2500 x4
Ge 0.0977 0.4155 0.5000 x8
Ge 0.2048 0.2155 0.5000 x8

Spin magnetization ... 0.4177 μB/atom
Formation energy from the elements ... -0.59 eV per atom

---

[7]
A relaxed BC3 crystal. Source: Alexandria via LeMat-Bulk, functional GGA-PBE.

a b c (Å): 8.4819 2.5397 7.7404
angles (deg): 90.00 117.36 90.00
Space group Cm (No. 8)
Symmetry-distinct sites (fractional):
B 0.0000 0.0000 0.0000 x2
B 0.1465 0.5000 0.3385 x2
B 0.3280 0.0000 0.1774 x2
C 0.1486 0.0000 0.4776 x2
C 0.1629 0.5000 0.8293 x2
C 0.1663 0.0000 0.9423 x2
C 0.3218 0.0000 0.6678 x2
C 0.3215 0.5000 0.3098 x2
C 0.3235 0.5000 0.7824 x2
C 0.4858 0.0000 0.1147 x2
C 0.4864 0.0000 0.6295 x2
C 0.4855 0.5000 0.5112 x2

Spin magnetization ... 0.0000 μB/atom
Formation energy from the elements ... 0.31 eV per atom

---

[8]
A relaxed Ac2BeZn crystal. Source: Alexandria via LeMat-Bulk, functional GGA-PBE.

a b c (Å): 7.6694 7.6694 7.6694
angles (deg): 90.00 90.00 90.00
Space group Fm-3m (No. 225)
Symmetry-distinct sites (fractional):
Ac 0.2500 0.2500 0.2500 x8
Be 0.0000 0.0000 0.0000 x4
Zn 0.0000 0.0000 0.5000 x4

Spin magnetization ... 0.0000 μB/atom
Formation energy from the elements ... 0.06 eV per atom

---

[9]
A relaxed HfTc2Te crystal. Source: Alexandria via LeMat-Bulk, functional GGA-PBE.

a b c (Å): 7.5264 7.5264 5.5211
angles (deg): 90.00 90.00 90.00
Space group I-42d (No. 122)
Symmetry-distinct sites (fractional):
Hf 0.0000 0.0000 0.0000 x4
Tc 0.2488 0.7500 0.1250 x8
Te 0.0000 0.0000 0.5000 x4

Spin magnetization ... 0.2534 μB/atom

---

[10]
A relaxed Ac2Pr3Y8 crystal. Source: Alexandria via LeMat-Bulk, functional GGA-PBE.

a b c (Å): 21.6514 7.8631 5.6561
angles (deg): 90.00 90.04 90.00
Space group C2/m (No. 12)
Symmetry-distinct sites (fractional):
Ac 0.2400 0.0000 0.4990 x4
Pr 0.0000 0.0000 0.5000 x2
Pr 0.0000 0.2972 0.0000 x4
Y 0.1042 0.2889 0.5003 x8
Y 0.1222 0.0000 0.9999 x4
Y 0.1557 0.5000 0.0007 x4

Spin magnetization ... 0.0000 μB/atom
Formation energy from the elements ... 0.25 eV per atom

---

[11]
A relaxed La2PmTlO crystal. Source: Alexandria via LeMat-Bulk, functional GGA-PBE.

a b c (Å): 5.0745 5.0745 4.9929
angles (deg): 90.00 90.00 90.00
Space group P4/mmm (No. 123)
Symmetry-distinct sites (fractional):
La 0.0000 0.5000 0.0000 x2
Pm 0.0000 0.0000 0.5000 x1
Tl 0.5000 0.5000 0.5000 x1
O 0.0000 0.0000 0.0000 x1

Spin magnetization ... 0.0000 μB/atom

---

[12]
A relaxed Sr2CdSb2 crystal. Source: Alexandria via LeMat-Bulk, functional GGA-PBE.

a b c (Å): 6.3787 6.3787 9.7061
angles (deg): 90.00 90.00 90.00
Space group I4/mmm (No. 139)
Symmetry-distinct sites (fractional):
Sr 0.0000 0.5000 0.2500 x4
Cd 0.0000 0.0000 0.0000 x2
Sb 0.0000 0.0000 0.3473 x4

Spin magnetization ... 0.0000 μB/atom

---

[13]
A relaxed Be2NiIr crystal. Source: Alexandria via LeMat-Bulk, functional GGA-PBE.

a b c (Å): 8.3850 2.7350 3.8460
angles (deg): 90.00 108.89 90.00
Space group Cm (No. 8)
Symmetry-distinct sites (fractional):
Be 0.0000 0.0000 0.0000 x2
Be 0.2459 0.5000 0.3361 x2
Ni 0.2560 0.0000 0.8554 x2
Ir 0.4947 0.0000 0.4932 x2

Spin magnetization ... 0.0006 μB/atom
Formation energy from the elements ... -0.37 eV per atom

---

[14]
A relaxed Zr2TcOs crystal. Source: Alexandria via LeMat-Bulk, functional GGA-PBE.

a b c (Å): 7.3060 7.3060 5.6797
angles (deg): 90.00 90.00 90.00
Space group I-42d (No. 122)
Symmetry-distinct sites (fractional):
Zr 0.2469 0.2500 0.1250 x8
Tc 0.0000 0.0000 0.5000 x4
Os 0.0000 0.0000 0.0000 x4

Spin magnetization ... 0.0000 μB/atom
Formation energy from the elements ... 0.30 eV per atom

---

[15]
A relaxed Nb4TcOs2 crystal. Source: Alexandria via LeMat-Bulk, functional GGA-PBE.

a b c (Å): 4.6727 4.6727 13.0819
angles (deg): 90.00 90.00 90.00
Space group I4/mmm (No. 139)
Symmetry-distinct sites (fractional):
Nb 0.0000 0.0000 0.1962 x4
Nb 0.0000 0.5000 0.0000 x4
Tc 0.0000 0.0000 0.0000 x2
Os 0.0000 0.0000 0.3819 x4

Spin magnetization ... 0.0000 μB/atom
Formation energy from the elements ... 1.07 eV per atom

---

[16]
A relaxed NiI3 crystal. Source: Alexandria via LeMat-Bulk, functional GGA-PBE.

a b c (Å): 7.2136 3.4726 12.3771
angles (deg): 90.00 93.01 90.00
Space group P2_1/m (No. 11)
Symmetry-distinct sites (fractional):
Ni 0.1864 0.2500 0.2600 x2
I 0.0919 0.2500 0.7953 x2
I 0.2563 0.7500 0.4201 x2
I 0.3826 0.7500 0.1429 x2

Spin magnetization ... 0.2211 μB/atom

---

[17]
A relaxed BaHg2Br crystal. Source: Alexandria via LeMat-Bulk, functional GGA-PBE.

a b c (Å): 4.7098 4.7072 5.9544
angles (deg): 90.00 90.25 90.00
Space group Pm (No. 6)
Symmetry-distinct sites (fractional):
Ba 0.0000 0.0000 0.0000 x1
Hg 0.9997 0.5000 0.5010 x1
Hg 0.4997 0.0000 0.5010 x1
Br 0.5000 0.5000 0.0014 x1

Spin magnetization ... 0.0000 μB/atom

---

[18]
A relaxed MgInCl2 crystal. Source: Alexandria via LeMat-Bulk, functional GGA-PBE.

a b c (Å): 3.5039 6.3918 10.7474
angles (deg): 90.00 90.00 90.00
Space group Cmmm (No. 65)
Symmetry-distinct sites (fractional):
Mg 0.0000 0.0000 0.0000 x2
In 0.0000 0.0000 0.5000 x2
Cl 0.0000 0.5000 0.1528 x4

Spin magnetization ... 0.0000 μB/atom

---

[19]
A relaxed Dy3TmIr crystal. Source: Alexandria via LeMat-Bulk, functional GGA-PBE.

a b c (Å): 5.4172 5.4172 5.4172
angles (deg): 90.00 90.00 90.00
Space group Pm-3m (No. 221)
Symmetry-distinct sites (fractional):
Dy 0.0000 0.0000 0.5000 x3
Tm 0.5000 0.5000 0.5000 x1
Ir 0.0000 0.0000 0.0000 x1

Spin magnetization ... 0.0000 μB/atom
Formation energy from the elements ... -0.23 eV per atom

---

[20]
A relaxed ReSnRuI2 crystal. Source: Alexandria via LeMat-Bulk, functional GGA-PBE.

a b c (Å): 5.4128 5.4128 5.1260
angles (deg): 90.00 90.00 90.00
Space group P4/mmm (No. 123)
Symmetry-distinct sites (fractional):
Re 0.0000 0.0000 0.0000 x1
Sn 0.5000 0.5000 0.0000 x1
Ru 0.5000 0.5000 0.5000 x1
I 0.0000 0.5000 0.5000 x2

Spin magnetization ... 0.9262 μB/atom

---

[21]
A relaxed Cs2KMnAs2 crystal. Source: Alexandria via LeMat-Bulk, functional GGA-PBE.

a b c (Å): 8.0149 15.9060 6.8773
angles (deg): 90.00 90.00 90.00
Space group Ibam (No. 72)
Symmetry-distinct sites (fractional):
Cs 0.2229 0.1773 0.0000 x8
K 0.0000 0.5000 0.2500 x4
Mn 0.0000 0.0000 0.2500 x4
As 0.1760 0.0770 0.5000 x8

Spin magnetization ... 0.6667 μB/atom
Formation energy from the elements ... -0.32 eV per atom

---

[22]
A relaxed FeHgRu2 crystal. Source: Alexandria via LeMat-Bulk, functional GGA-PBE.

a b c (Å): 6.2751 6.2751 6.2751
angles (deg): 90.00 90.00 90.00
Space group F-43m (No. 216)
Symmetry-distinct sites (fractional):
Fe 0.0000 0.0000 0.0000 x4
Hg 0.2500 0.2500 0.2500 x4
Ru 0.0000 0.0000 0.5000 x4
Ru 0.2500 0.2500 0.7500 x4

Spin magnetization ... 1.0819 μB/atom
Formation energy from the elements ... 0.61 eV per atom

---

[23]
A relaxed SrSbSe2N crystal. Source: Alexandria via LeMat-Bulk, functional GGA-PBE.

a b c (Å): 5.4504 5.4504 4.1070
angles (deg): 90.00 90.00 90.00
Space group P4/mmm (No. 123)
Symmetry-distinct sites (fractional):
Sr 0.0000 0.0000 0.0000 x1
Sb 0.5000 0.5000 0.5000 x1
Se 0.0000 0.5000 0.5000 x2
N 0.5000 0.5000 0.0000 x1

Spin magnetization ... 0.1136 μB/atom

---

[24]
A relaxed Sr2LiIn6Rh crystal. Source: Alexandria via LeMat-Bulk, functional GGA-PBE.

a b c (Å): 10.3024 10.2762 7.2592
angles (deg): 90.00 134.59 90.00
Space group C2/m (No. 12)
Symmetry-distinct sites (fractional):
Sr 0.0000 0.2102 0.0000 x4
Li 0.0000 0.5000 0.5000 x2
In 0.0000 0.2554 0.5000 x4
In 0.2113 0.5000 0.4300 x4
In 0.2149 0.5000 0.9919 x4
Rh 0.0000 0.0000 0.5000 x2

Spin magnetization ... 0.0000 μB/atom
Formation energy from the elements ... -0.25 eV per atom

---

It is found that the E_tot values, taken in the order of the records, are -194.095 -74.326 -25.203 -50.250 -67.300 -328.440 -198.732 -51.915 -124.853 -142.074 -28.803 -30.107 -47.134 -149.909 -131.218 -19.911 -7.787 -24.233 -28.270 -21.293 -92.880 -99.502 -22.243 -63.210 eV per cell.
It is found that the D(E_F) values, taken in the order of the records, are 1.270 0.848 1.097 0.684 0.986 0.659 0.211 0.829 1.449 1.842 0.550 0.268 0.906 0.965 1.257 1.093 0.364 0.390 1.412 1.088 0.329 1.409 0.480 0.526 states/eV/atom.